1.
First-principles (meta-GGA SCAN) data for a crystal of BaCrAs2 relaxed with PBEsol, as listed in the Alexandria database.

Unit cell a=6.549 b=6.836 c=4.251 alpha=90.00 beta=90.00 gamma=90.00
Space group Cmmm (No. 65)
Inequivalent atoms, fractional coordinates:
Ba1 0.000 0.000 0.000
Cr1 0.000 0.500 0.000
As1 0.250 0.250 0.500

Output
- calculated formation energy (eV per atom) = -0.119
- total magnetic moment (Bohr magnetons per cell) = 9.08
- total DFT energy (no corrections) (eV per atom) = -24.698
- polymorph energy (0 for the lowest one) (meV per atom) = 571

---

2.
First-principles (meta-GGA SCAN) data for a crystal of Ba2CrAs relaxed with PBEsol, as listed in the Alexandria database.

Unit cell a=4.507 b=4.737 c=12.228 alpha=90.00 beta=90.00 gamma=90.00
Space group Amm2 (No. 38)
Inequivalent atoms, fractional coordinates:
Ba1 0.000 0.000 0.000
Ba2 0.500 0.000 0.284
Cr1 0.000 0.000 0.689
As1 0.500 0.000 0.579

Output
- calculated formation energy (eV per atom) = -0.511
- total magnetic moment (Bohr magnetons per cell) = 9.95
- total DFT energy (no corrections) (eV per atom) = -29.930

---

3.
First-principles (meta-GGA SCAN) data for a crystal of BaCrAs2 relaxed with PBEsol, as listed in the Alexandria database.

Unit cell a=4.1131 b=4.1131 c=18.9681 alpha=90.00 beta=90.00 gamma=120.00
Space group R-3m (No. 166, hexagonal axes)
Inequivalent atoms, fractional coordinates:
Ba1 0.0000 0.0000 0.0000
Cr1 0.0000 0.0000 0.5000
As1 0.0000 0.0000 0.2186

Output
- calculated formation energy (eV per atom) = -0.689
- total magnetic moment (Bohr magnetons per cell) = 8.40
- total DFT energy (no corrections) (eV per atom) = -25.268
- polymorph energy (0 for the lowest one) (meV per atom) = 0

---

4.
First-principles (meta-GGA SCAN) data for a crystal of BaCrAs2S relaxed with PBEsol, as listed in the Alexandria database.

Unit cell a=4.585 b=4.585 c=5.337 alpha=90.00 beta=90.00 gamma=90.00
Space group P4/mmm (No. 123)
Inequivalent atoms, fractional coordinates:
Ba1 0.000 0.000 0.000
Cr1 0.500 0.500 0.500
As1 0.000 0.500 0.500
S1 0.500 0.500 0.000

Output
- raw formation energy (eV per atom) = -0.68
- total magnetic moment (Bohr magnetons per cell) = 1.61
- total DFT energy (no corrections) (eV per atom) = -22.271

---

5.
First-principles (meta-GGA SCAN) data for a crystal of BaCrAsSe2 relaxed with PBEsol, as listed in the Alexandria database.

Unit cell a=5.076 b=5.076 c=4.613 alpha=90.00 beta=90.00 gamma=90.00
Space group P4/mmm (No. 123)
Inequivalent atoms, fractional coordinates:
Ba1 0.000 0.000 0.000
Cr1 0.500 0.500 0.500
As1 0.500 0.500 0.000
Se1 0.000 0.500 0.500

Output
- raw formation energy (eV per atom) = -0.91
- total magnetic moment (Bohr magnetons per cell) = 2.07
- total DFT energy (no corrections) (eV per atom) = -24.566

---

6.
First-principles (meta-GGA SCAN) data for a crystal of CsBaAs relaxed with PBEsol, as listed in the Alexandria database.

Unit cell a=9.297 b=5.492 c=9.369 alpha=90.00 beta=90.00 gamma=90.00
Space group Pnma (No. 62)
Inequivalent atoms, fractional coordinates:
Cs1 0.015 0.250 0.167
Ba1 0.153 0.250 0.585
As1 0.197 0.750 0.398

Output
- calculated formation energy (eV per atom) = -0.937
- total magnetic moment (Bohr magnetons per cell) = 0.00
- total DFT energy (no corrections) (eV per atom) = -33.454

---

7.
First-principles (meta-GGA SCAN) data for a crystal of BaCu6As2 relaxed with PBEsol, as listed in the Alexandria database.

Unit cell a=4.139 b=4.139 c=8.604 alpha=90.00 beta=90.00 gamma=90.00
Space group P4/mmm (No. 123)
Inequivalent atoms, fractional coordinates:
Ba1 0.000 0.000 0.000
Cu1 0.000 0.000 0.500
Cu2 0.000 0.500 0.340
Cu3 0.500 0.500 0.500
As1 0.500 0.500 0.198

Output
- calculated formation energy (eV per atom) = -0.314
- total magnetic moment (Bohr magnetons per cell) = 0.00
- total DFT energy (no corrections) (eV per atom) = -19.328

---

8.
First-principles (meta-GGA SCAN) data for a crystal of BaZn2Cu2As3 relaxed with PBEsol, as listed in the Alexandria database.

Unit cell a=4.129 b=12.440 c=12.063 alpha=90.00 beta=90.00 gamma=90.00
Space group Cmcm (No. 63)
Inequivalent atoms, fractional coordinates:
Ba1 0.000 0.178 0.250
Zn1 0.000 0.170 0.558
Cu1 0.000 0.452 0.145
As1 0.000 0.095 0.750
As2 0.000 0.378 0.546

Output
- calculated formation energy (eV per atom) = -0.465
- total magnetic moment (Bohr magnetons per cell) = 0.00
- total DFT energy (no corrections) (eV per atom) = -20.159

---

Question: What is the total DFT energy (no corrections) in the third record?
Answer: -25.268 eV per atom

---

Question: Among the records above, which one has the lowest total DFT energy (no corrections)?
Answer: CsBaAs